Material: CeZnB5O10
Method: DFT, meta-GGA SCAN
State: PBEsol geometry

The structure in CIF format:
```
data_CeZnB5O10
_cell_length_a 7.603
_cell_length_b 8.725
_cell_length_c 9.478
_cell_angle_alpha 87.12
_cell_angle_beta 90.00
_cell_angle_gamma 90.00
_space_group_name_H-M_alt 'P 1'
_space_group_IT_number 1
loop_
_space_group_symop_operation_xyz
'x,y,z'
loop_
_atom_site_label
_atom_site_fract_x
_atom_site_fract_y
_atom_site_fract_z
_atom_site_occupancy
Ce1 0.683 0.683 0.264 1
Ce2 0.317 0.317 0.736 1
Ce3 0.183 0.817 0.236 1
Ce4 0.817 0.183 0.764 1
Zn1 0.413 0.392 0.124 1
Zn2 0.087 0.892 0.624 1
Zn3 0.587 0.608 0.876 1
Zn4 0.913 0.108 0.376 1
B1 0.597 0.152 0.003 1
B2 0.173 0.016 0.891 1
B3 0.033 0.219 0.053 1
B4 0.673 0.484 0.609 1
B5 0.827 0.984 0.109 1
B6 0.097 0.348 0.497 1
B7 0.467 0.719 0.553 1
B8 0.327 0.516 0.391 1
B9 0.403 0.848 0.997 1
B10 0.420 0.914 0.736 1
B11 0.967 0.781 0.947 1
B12 0.313 0.070 0.415 1
B13 0.903 0.652 0.503 1
B14 0.580 0.086 0.264 1
B15 0.687 0.930 0.585 1
B16 0.187 0.570 0.915 1
B17 0.533 0.281 0.447 1
B18 0.813 0.430 0.085 1
B19 0.920 0.586 0.764 1
B20 0.080 0.414 0.236 1
O1 0.957 0.732 0.385 1
O2 0.024 0.915 0.854 1
O3 0.784 0.471 0.737 1
O4 0.536 0.184 0.135 1
O5 0.543 0.232 0.885 1
O6 0.043 0.268 0.615 1
O7 0.476 0.415 0.354 1
O8 0.349 0.501 0.932 1
O9 0.106 0.172 0.915 1
O10 0.976 0.085 0.146 1
O11 0.776 0.540 0.487 1
O12 0.915 0.488 0.190 1
O13 0.716 0.971 0.237 1
O14 0.894 0.828 0.085 1
O15 0.276 0.960 0.013 1
O16 0.464 0.816 0.865 1
O17 0.415 0.012 0.310 1
O18 0.085 0.512 0.810 1
O19 0.152 0.315 0.129 1
O20 0.606 0.328 0.585 1
O21 0.652 0.185 0.371 1
O22 0.964 0.684 0.635 1
O23 0.849 0.999 0.568 1
O24 0.457 0.768 0.115 1
O25 0.585 0.988 0.690 1
O26 0.394 0.672 0.415 1
O27 0.524 0.585 0.646 1
O28 0.373 0.189 0.491 1
O29 0.348 0.815 0.629 1
O30 0.651 0.499 0.068 1
O31 0.216 0.529 0.263 1
O32 0.627 0.811 0.509 1
O33 0.151 0.001 0.432 1
O34 0.284 0.029 0.763 1
O35 0.848 0.685 0.871 1
O36 0.127 0.689 0.991 1
O37 0.873 0.311 0.009 1
O38 0.724 0.040 0.987 1
O39 0.224 0.460 0.513 1
O40 0.036 0.316 0.365 1
```

Output
As for the raw formation energy: -2.74 eV per atom. As for the crystal system: monoclinic. The value obtained for the total energy is -12.01 eV/atom.